{"formula": "V4H2N", "functional": "PBE-GGA", "state": "optimized geometry", "cell": [[3.856, 0.000, 0.000], [0.000, 3.856, 0.000], [1.928, 1.928, 4.432]], "species": ["V", "V", "V", "V", "H", "H", "N"], "fractional_positions": [[0.766, 0.766, 0.468], [0.500, 0.000, 0.000], [0.234, 0.234, 0.532], [0.000, 0.500, 0.000], [0.426, 0.426, 0.148], [0.574, 0.574, 0.852], [0.000, 0.000, 0.000]], "energy_ry_per_atom": -0.561, "total_magnetization_mub_per_cell": 0.000, "relative_energy_ev_per_fu": 1.547, "vol_a3_per_cell": 66}